BaCuIO6: optimized geometry, GGA-PBE.

a = 5.2525 Å, b = 5.2525 Å, c = 5.8164 Å
α = 90.00°, β = 90.00°, γ = 120.00°
Space group P312 (No. 149)
One atom of each set of equivalent atoms:
Ba 0.0000 0.0000 0.0000
Cu 0.3333 0.6667 0.5000
I 0.6667 0.3333 0.5000
O 0.3925 0.0173 0.6891

Output
Energy relative to the elements, uncorrected in eV per formula unit: -9.2